Density functional theory data (PBE) for crystalline Li2TlMo at its relaxed geometry.

Summary:
DOS(E_F)	0.945	states/eV/atom
M_tot	0.5	μB per formula unit
ρ	7.29	g/cm3
E	-3.839	eV per atom

CIF file:
```
data_Li2TlMo
_chemical_formula_sum 'Li4 Tl2 Mo2'
_cell_length_a 10.790
_cell_length_b 2.801
_cell_length_c 5.279
_cell_angle_alpha 90.00
_cell_angle_beta 116.17
_cell_angle_gamma 90.00
_symmetry_space_group_name_H-M 'C 1 m 1'
_symmetry_Int_Tables_number 8
loop_
_symmetry_equiv_pos_as_xyz
'x,y,z'
'x,-y,z'
'x+1/2,y+1/2,z'
'x+1/2,-y+1/2,z'
loop_
_atom_site_label
_atom_site_fract_x
_atom_site_fract_y
_atom_site_fract_z
Li1 0.000 0.000 0.000
Li2 0.243 0.000 0.939
Tl1 0.245 0.500 0.448
Mo1 0.492 0.000 0.491
```

Density functional theory data (PBE) for crystalline TbCe2TmAs4 at its relaxed geometry.

Summary:
DOS(E_F)	1.352	states/eV/atom
M_tot	1.3	μB per formula unit
ρ	7.41	g/cm3
E	-6.419	eV per atom

CIF file:
```
data_TbCe2TmAs4
_chemical_formula_sum 'Tb1 Ce2 Tm1 As4'
_cell_length_a 7.191
_cell_length_b 4.161
_cell_length_c 7.209
_cell_angle_alpha 90.00
_cell_angle_beta 109.51
_cell_angle_gamma 90.00
_symmetry_space_group_name_H-M 'P 1 2/m 1'
_symmetry_Int_Tables_number 10
loop_
_symmetry_equiv_pos_as_xyz
'x,y,z'
'-x,-y,-z'
'-x,y,-z'
'x,-y,z'
loop_
_atom_site_label
_atom_site_fract_x
_atom_site_fract_y
_atom_site_fract_z
Tb1 0.000 0.000 0.000
Ce1 0.500 0.000 0.500
Ce2 0.500 0.500 0.000
Tm1 0.000 0.500 0.500
As1 0.243 0.000 0.745
As2 0.245 0.500 0.251
```

Density functional theory data (PBE) for crystalline Gd2DyH4 at its relaxed geometry.

Summary:
DOS(E_F)	0.799	states/eV/atom
M_tot	16.0	μB per formula unit
ρ	7.59	g/cm3
E	-6.869	eV per atom

CIF file:
```
data_Gd2DyH4
_chemical_formula_sum 'Gd4 Dy2 H8'
_cell_length_a 4.078
_cell_length_b 4.078
_cell_length_c 12.660
_cell_angle_alpha 90.00
_cell_angle_beta 90.00
_cell_angle_gamma 90.00
_symmetry_space_group_name_H-M 'I 4/m m m'
_symmetry_Int_Tables_number 139
_symmetry_space_group_name_Hall '-I 4 2'
loop_
_atom_site_label
_atom_site_fract_x
_atom_site_fract_y
_atom_site_fract_z
Gd1 0.000 0.000 0.159
Dy1 0.000 0.000 0.500
H1 0.000 0.000 0.331
H2 0.000 0.500 0.000
```

Density functional theory data (PBE) for crystalline SiGeS4 at its relaxed geometry.

Summary:
energy relative to the elements, uncorrected	-2.9	eV per formula unit
DOS(E_F)	0.000	states/eV/atom
M_tot	0.0	μB per formula unit
ρ	2.62	g/cm3
E	-4.901	eV per atom

CIF file:
```
data_SiGeS4
_chemical_formula_sum 'Si2 Ge2 S8'
_cell_length_a 5.709
_cell_length_b 5.709
_cell_length_c 8.902
_cell_angle_alpha 90.00
_cell_angle_beta 90.00
_cell_angle_gamma 90.00
_symmetry_space_group_name_H-M 'I -4'
_symmetry_Int_Tables_number 82
loop_
_symmetry_equiv_pos_as_xyz
'x,y,z'
'y,-x,-z'
'-x,-y,z'
'-y,x,-z'
'x+1/2,y+1/2,z+1/2'
'y+1/2,-x+1/2,-z+1/2'
'-x+1/2,-y+1/2,z+1/2'
'-y+1/2,x+1/2,-z+1/2'
loop_
_atom_site_label
_atom_site_fract_x
_atom_site_fract_y
_atom_site_fract_z
Si1 0.000 0.000 0.000
Ge1 0.000 0.500 0.250
S1 0.220 0.240 0.121
```

Density functional theory data (PBE) for crystalline YV3C at its relaxed geometry.

Summary:
DOS(E_F)	1.378	states/eV/atom
M_tot	5.2	μB per formula unit
ρ	4.02	g/cm3
E	-5.350	eV per atom

CIF file:
```
data_YV3C
_chemical_formula_sum 'Y1 V3 C1'
_cell_length_a 4.716
_cell_length_b 4.716
_cell_length_c 4.716
_cell_angle_alpha 90.00
_cell_angle_beta 90.00
_cell_angle_gamma 90.00
_symmetry_space_group_name_H-M 'P m -3 m'
_symmetry_Int_Tables_number 221
_symmetry_space_group_name_Hall '-P 4 2 3'
loop_
_atom_site_label
_atom_site_fract_x
_atom_site_fract_y
_atom_site_fract_z
Y1 0.000 0.000 0.000
V1 0.000 0.000 0.500
C1 0.500 0.500 0.500
```

Density functional theory data (PBE) for crystalline EuTmIn2 at its relaxed geometry.

Summary:
DOS(E_F)	2.071	states/eV/atom
M_tot	7.2	μB per formula unit
ρ	8.14	g/cm3
E	-5.515	eV per atom

CIF file:
```
data_EuTmIn2
_chemical_formula_sum 'Eu1 Tm1 In2'
_cell_length_a 3.827
_cell_length_b 3.827
_cell_length_c 7.668
_cell_angle_alpha 90.00
_cell_angle_beta 90.00
_cell_angle_gamma 90.00
_symmetry_space_group_name_H-M 'P 4/m m m'
_symmetry_Int_Tables_number 123
_symmetry_space_group_name_Hall '-P 4 2'
loop_
_atom_site_label
_atom_site_fract_x
_atom_site_fract_y
_atom_site_fract_z
Eu1 0.000 0.000 0.000
Tm1 0.000 0.000 0.500
In1 0.500 0.500 0.272
```

Density functional theory data (PBE) for crystalline NiRhSN2 at its relaxed geometry.

Summary:
energy relative to the elements, uncorrected	6.3	eV per formula unit
DOS(E_F)	1.139	states/eV/atom
M_tot	0.3	μB per formula unit
ρ	4.50	g/cm3
E	-5.525	eV per atom

CIF file:
```
data_NiRhSN2
_chemical_formula_sum 'Ni1 Rh1 S1 N2'
_cell_length_a 3.431
_cell_length_b 3.431
_cell_length_c 6.941
_cell_angle_alpha 90.00
_cell_angle_beta 90.00
_cell_angle_gamma 90.00
_symmetry_space_group_name_H-M 'P 4/m m m'
_symmetry_Int_Tables_number 123
_symmetry_space_group_name_Hall '-P 4 2'
loop_
_atom_site_label
_atom_site_fract_x
_atom_site_fract_y
_atom_site_fract_z
Ni1 0.000 0.000 0.000
Rh1 0.500 0.500 0.500
S1 0.000 0.000 0.500
N1 0.000 0.500 0.000
```

Density functional theory data (PBE) for crystalline MgNiMo at its relaxed geometry.

Summary:
DOS(E_F)	1.096	states/eV/atom
M_tot	0.0	μB per formula unit
ρ	6.53	g/cm3
E	-5.828	eV per atom

CIF file:
```
data_MgNiMo
_chemical_formula_sum 'Mg1 Ni1 Mo1'
_cell_length_a 2.7795
_cell_length_b 2.7795
_cell_length_c 6.7966
_cell_angle_alpha 90.00
_cell_angle_beta 90.00
_cell_angle_gamma 120.00
_symmetry_space_group_name_H-M 'P 3 m 1'
_symmetry_Int_Tables_number 156
loop_
_symmetry_equiv_pos_as_xyz
'x,y,z'
'-y,x-y,z'
'-x+y,-x,z'
'-y,-x,z'
'-x+y,y,z'
'x,x-y,z'
loop_
_atom_site_label
_atom_site_fract_x
_atom_site_fract_y
_atom_site_fract_z
Mg1 0.0000 0.0000 0.0000
Ni1 0.6667 0.3333 0.6770
Mo1 0.3333 0.6667 0.3767
```